(1)
DFT (PBE) results for Sr8Cd2In3 after structural relaxation.

Lattice parameters (Å, degrees): 9.586 17.792 6.063 90.00 90.00 90.00
Space group Cmmm (No. 65)
Symmetry-distinct sites (fractional):
Sr1 0.000 0.104 0.000 x4
Sr2 0.000 0.320 0.000 x4
Sr3 0.219 0.387 0.500 x8
Cd1 0.000 0.228 0.500 x4
In1 0.000 0.000 0.500 x2
In2 0.166 0.500 0.000 x4

Properties
- Energy of formation: -21.4 kJ/mol of atoms
- Electronic total energy: -26.381 eV/f.u.

=====

(2)
DFT (PBE) results for Sr3Cd7In4 after structural relaxation.

Lattice parameters (Å, degrees): 18.003 4.892 10.879 90.00 127.13 90.00
Space group C2/m (No. 12)
Symmetry-distinct sites (fractional):
Sr1 0.000 0.000 0.000 x2
Sr2 0.201 0.500 0.702 x4
Cd1 0.000 0.000 0.500 x2
Cd2 0.001 0.500 0.690 x4
Cd3 0.137 0.000 0.855 x4
Cd4 0.157 0.500 0.290 x4
In1 0.141 0.000 0.423 x4
In2 0.161 0.500 0.026 x4

Properties
- Energy of formation: -29.1 kJ/mol of atoms
- Electronic total energy: -26.622 eV/f.u.

=====

(3)
DFT (PBE) results for SrCd2In3 after structural relaxation.

Lattice parameters (Å, degrees): 6.3086 6.3086 4.9587 90.00 90.00 120.00
Space group P6/mmm (No. 191)
Symmetry-distinct sites (fractional):
Sr1 0.0000 0.0000 0.0000 x1
Cd1 0.3333 0.6667 0.0000 x2
In1 0.0000 0.5000 0.5000 x3

Properties
- Energy of formation: -17.4 kJ/mol of atoms
- Electronic total energy: -12.812 eV/f.u.

=====

(4)
DFT (PBE) results for Sr4CdIn after structural relaxation.

Lattice parameters (Å, degrees): 4.126 4.126 14.281 90.00 90.00 90.00
Space group P4/mmm (No. 123)
Symmetry-distinct sites (fractional):
Sr1 0.000 0.000 0.136 x2
Sr2 0.500 0.500 0.363 x2
Cd1 0.000 0.000 0.500 x1
In1 0.500 0.500 0.000 x1

Properties
- Energy of formation: -26.2 kJ/mol of atoms
- Electronic total energy: -12.008 eV/f.u.

=====

(5)
DFT (PBE) results for SrCd2In after structural relaxation.

Lattice parameters (Å, degrees): 3.917 3.917 7.468 90.00 90.00 90.00
Space group P4/mmm (No. 123)
Symmetry-distinct sites (fractional):
Sr1 0.000 0.000 0.000 x1
Cd1 0.500 0.500 0.279 x2
In1 0.000 0.000 0.500 x1

Properties
- Energy of formation: -20.3 kJ/mol of atoms
- Electronic total energy: -7.094 eV/f.u.

=====

(6)
DFT (PBE) results for Sr6Cd2In after structural relaxation.

Lattice parameters (Å, degrees): 11.032 11.326 11.739 90.00 90.00 90.00
Space group Immm (No. 71)
Symmetry-distinct sites (fractional):
Sr1 0.000 0.191 0.250 x8
Sr2 0.211 0.500 0.168 x8
Sr3 0.230 0.323 0.500 x8
Cd1 0.000 0.348 0.000 x4
Cd2 0.000 0.500 0.374 x4
In1 0.000 0.000 0.000 x2
In2 0.000 0.000 0.500 x2

Properties
- Energy of formation: -23.2 kJ/mol of atoms
- Electronic total energy: -16.828 eV/f.u.

=====

(7)
DFT (PBE) results for SrCdIn2 after structural relaxation.

Lattice parameters (Å, degrees): 7.554 5.105 11.790 90.00 90.00 90.00
Space group Amm2 (No. 38)
Symmetry-distinct sites (fractional):
Sr1 0.000 0.000 0.000 x2
Sr2 0.500 0.000 0.182 x2
Cd1 0.196 0.000 0.716 x4
In1 0.000 0.000 0.293 x2
In2 0.299 0.000 0.473 x4
In3 0.500 0.000 0.887 x2

Properties
- Energy of formation: -33.0 kJ/mol of atoms
- Electronic total energy: -9.441 eV/f.u.

=====

(8)
DFT (PBE) results for Sr2Cd2In5 after structural relaxation.

Lattice parameters (Å, degrees): 4.712 4.712 11.645 90.00 90.00 90.00
Space group P4/mmm (No. 123)
Symmetry-distinct sites (fractional):
Sr1 0.000 0.000 0.000 x1
Sr2 0.000 0.000 0.500 x1
Cd1 0.500 0.500 0.119 x2
In1 0.000 0.500 0.281 x4
In2 0.500 0.500 0.500 x1

Properties
- Energy of formation: -24.6 kJ/mol of atoms
- Electronic total energy: -21.185 eV/f.u.

=====

The highest energy of formation belongs to which entry? SrCd2In3